# 1
Here is a relaxed structure of Tb3Nd2In from Alexandria. Energies are from GGA-PBE.

a = 4.9093 Å, b = 15.3235 Å, c = 4.9473 Å
α = 90.00°, β = 90.00°, γ = 90.00°
Closest atoms and distances in Å follow each position.
Space group Cmmm (No. 65)
Inequivalent atoms, fractional coordinates:
Tb: 0.0000 0.0000 0.0000 x2  4 In 3.48, 4 Nd 3.50, 4 Tb 3.51
Tb: 0.0000 0.3364 0.0000 x4  6 Nd 3.48-3.64, 4 Tb 3.51-3.61, 2 In 3.52
Nd: 0.0000 0.1620 0.5000 x4  8 Tb 3.48-3.64, 2 In 3.49, 2 Nd 3.65
In: 0.0000 0.5000 0.5000 x2  8 Tb 3.48-3.52, 4 Nd 3.49

Calculated values
The formation energy is -0.1489 eV per atom. The total magnetization comes out at 0.00 μB/f.u. The value obtained for the volume is 372.2 Å³ per cell.

---

# 2
Here is a relaxed structure of TbNd9In2 from Alexandria. Energies are from GGA-PBE.

a = 5.0124 Å, b = 5.0124 Å, c = 15.3719 Å
α = 90.00°, β = 90.00°, γ = 90.00°
Closest atoms and distances in Å follow each position.
Space group P4/mmm (No. 123)
Inequivalent atoms, fractional coordinates:
Tb: 0.0000 0.0000 0.0000 x1  12 Nd 3.54-3.66
Nd: 0.0000 0.5000 0.1732 x4  8 Nd 3.54-3.66, 2 In 3.57, 2 Tb 3.66
Nd: 0.0000 0.5000 0.5000 x2  4 In 3.53, 8 Nd 3.54
Nd: 0.5000 0.5000 0.0000 x1  4 Tb 3.54, 8 Nd 3.66
Nd: 0.5000 0.5000 0.3374 x2  8 Nd 3.54-3.56, 4 In 3.54
In: 0.0000 0.0000 0.3386 x2  12 Nd 3.53-3.57

Calculated values
The formation energy is -0.1732 eV per atom. The total magnetization comes out at 0.00 μB/f.u. The value obtained for the volume is 386.2 Å³ per cell.

---

# 3
Here is a relaxed structure of Tb8NdIn6 from Alexandria. Energies are from GGA-PBE.

a = 9.1104 Å, b = 9.1104 Å, c = 19.5076 Å
α = 90.00°, β = 90.00°, γ = 120.00°
Closest atoms and distances in Å follow each position.
Space group R-3 (No. 148, hexagonal axes)
Inequivalent atoms, fractional coordinates:
Tb: 0.0000 0.0000 0.1675 x6  6 In 3.22-3.23
Tb: 0.0013 0.3341 0.0531 x18  5 In 3.15-3.36
Nd: 0.0000 0.0000 0.5000 x3  6 In 3.28
In: 0.0004 0.3382 0.5584 x18  7 Tb 3.15-3.36, 1 Nd 3.28

Calculated values
The formation energy is -0.2194 eV per atom. The total magnetization comes out at 0.00 μB/f.u. The value obtained for the volume is 1402.2 Å³ per cell.

---

# 4
Here is a relaxed structure of Tb5NdIn6 from Alexandria. Energies are from GGA-PBE.

a = 5.3633 Å, b = 7.5599 Å, c = 16.1058 Å
α = 90.00°, β = 90.00°, γ = 90.00°
Closest atoms and distances in Å follow each position.
Space group Immm (No. 71)
Inequivalent atoms, fractional coordinates:
Tb: 0.0000 0.0000 0.0000 x2  8 In 3.25-3.29
Tb: 0.0000 0.0000 0.3359 x4  8 In 3.27-3.30
Tb: 0.0000 0.5000 0.3323 x4  8 In 3.26
Nd: 0.0000 0.5000 0.0000 x2  8 In 3.32-3.33
In: 0.0000 0.2460 0.1688 x8  7 Tb 3.26-3.30, 1 Nd 3.33
In: 0.0000 0.2582 0.5000 x4  6 Tb 3.25-3.29, 2 Nd 3.32

Calculated values
The formation energy is -0.4795 eV per atom. The total magnetization comes out at 0.00 μB/f.u. The value obtained for the volume is 653.0 Å³ per cell.

---

# 5
Here is a relaxed structure of Tb5Nd2In4 from Alexandria. Energies are from GGA-PBE.

a = 8.6678 Å, b = 3.4761 Å, c = 10.6251 Å
α = 90.00°, β = 96.43°, γ = 90.00°
Closest atoms and distances in Å follow each position.
Space group P2/m (No. 10)
Inequivalent atoms, fractional coordinates:
Tb: 0.0000 0.0000 0.0000 x1  4 In 3.25, 6 Tb 3.44-3.50
Tb: 0.0393 0.0000 0.3318 x2  1 Nd 3.25, 4 In 3.25-3.47, 4 Tb 3.48-3.62
Tb: 0.3359 0.0000 0.8549 x2  6 In 3.28-3.58, 1 Nd 3.31, 4 Tb 3.44-3.62
Nd: 0.4161 0.0000 0.3609 x2  3 Nd 3.14-3.48, 6 In 3.23-3.41, 2 Tb 3.25-3.31
In: 0.2456 0.5000 0.5783 x2  6 Tb 3.25-3.47, 4 Nd 3.36-3.41, 2 In 3.48
In: 0.3010 0.5000 0.1116 x2  2 Nd 3.23, 6 Tb 3.25-3.58, 2 In 3.48

Calculated values
The formation energy is -0.2508 eV per atom. The total magnetization comes out at 0.00 μB/f.u. The value obtained for the volume is 318.1 Å³ per cell.

---

# 6
Here is a relaxed structure of Tb3Nd3In2 from Alexandria. Energies are from GGA-PBE.

a = 4.8987 Å, b = 4.9240 Å, c = 9.9204 Å
α = 90.00°, β = 90.00°, γ = 90.00°
Closest atoms and distances in Å follow each position.
Space group Pmmm (No. 47)
Inequivalent atoms, fractional coordinates:
Tb: 0.0000 0.0000 0.0000 x1  4 In 3.46, 4 Nd 3.47, 4 Tb 3.48
Tb: 0.0000 0.5000 0.2483 x2  4 In 3.47, 6 Nd 3.47-3.51, 2 Tb 3.48
Nd: 0.0000 0.0000 0.5000 x1  4 Nd 3.47, 4 Tb 3.51, 4 In 3.51
Nd: 0.5000 0.5000 0.0000 x1  4 In 3.47, 8 Tb 3.47
Nd: 0.5000 0.5000 0.5000 x1  4 Nd 3.47, 4 Tb 3.50, 4 In 3.52
In: 0.5000 0.0000 0.2468 x2  6 Tb 3.46-3.47, 6 Nd 3.47-3.52

Calculated values
The formation energy is -0.2684 eV per atom. The total magnetization comes out at 0.01 μB/f.u. The value obtained for the volume is 239.3 Å³ per cell.

---

# 7
Here is a relaxed structure of Tb5Nd4In2 from Alexandria. Energies are from GGA-PBE.

a = 5.2761 Å, b = 5.2761 Å, c = 47.3722 Å
α = 90.00°, β = 90.00°, γ = 120.00°
Closest atoms and distances in Å follow each position.
Space group R-3m (No. 166, hexagonal axes)
Inequivalent atoms, fractional coordinates:
Tb: 0.0000 0.0000 0.0000 x3  6 Tb 3.37, 2 Nd 3.47, 6 In 3.70
Tb: 0.0000 0.0000 0.1485 x6  3 Tb 3.50, 5 Nd 3.57-3.66
Tb: 0.0000 0.0000 0.3030 x6  3 In 3.12, 3 Tb 3.37
Nd: 0.0000 0.0000 0.0733 x6  3 In 3.34, 3 Nd 3.45, 5 Tb 3.47-3.66
Nd: 0.0000 0.0000 0.2258 x6  3 Nd 3.45, 5 Tb 3.61-3.66
In: 0.0000 0.0000 0.3777 x6  3 Tb 3.12, 3 Nd 3.34

Calculated values
The formation energy is 0.1724 eV per atom. The total magnetization comes out at 0.00 μB/f.u. The value obtained for the volume is 1142.1 Å³ per cell.

---

# 8
Here is a relaxed structure of TbNdIn from Alexandria. Energies are from GGA-PBE.

a = 3.6136 Å, b = 3.6136 Å, c = 13.9622 Å
α = 90.00°, β = 90.00°, γ = 90.00°
Closest atoms and distances in Å follow each position.
Space group I4mm (No. 107)
Inequivalent atoms, fractional coordinates:
Tb: 0.0000 0.0000 0.0000 x2  4 In 3.29, 4 Tb 3.61
Nd: 0.0000 0.0000 0.3078 x2  4 In 3.39, 4 Nd 3.61, 4 Tb 3.71
In: 0.0000 0.0000 0.6479 x2  4 Tb 3.29, 4 Nd 3.39, 4 In 3.61

Calculated values
The formation energy is -0.2966 eV per atom. The total magnetization comes out at 0.00 μB/f.u. The value obtained for the volume is 182.3 Å³ per cell.

---

# 9
Here is a relaxed structure of Tb6Nd5In from Alexandria. Energies are from GGA-PBE.

a = 5.0316 Å, b = 10.1349 Å, c = 15.1851 Å
α = 90.00°, β = 90.00°, γ = 90.00°
Closest atoms and distances in Å follow each position.
Space group Immm (No. 71)
Inequivalent atoms, fractional coordinates:
Tb: 0.0000 0.2431 0.0000 x4  2 In 3.52, 4 Tb 3.54, 6 Nd 3.54-3.62
Tb: 0.0000 0.2554 0.3360 x8  1 In 3.51, 7 Nd 3.53-3.64, 4 Tb 3.54-3.63
Nd: 0.0000 0.0000 0.1675 x4  8 Tb 3.53-3.64, 2 In 3.58, 2 Nd 3.60
Nd: 0.0000 0.0000 0.5000 x2  4 Nd 3.53, 8 Tb 3.59-3.62
Nd: 0.0000 0.5000 0.1633 x4  4 Nd 3.53-3.60, 8 Tb 3.60-3.61
In: 0.0000 0.5000 0.5000 x2  8 Tb 3.51-3.52, 4 Nd 3.58

Calculated values
The formation energy is -0.0531 eV per atom. The total magnetization comes out at 0.00 μB/f.u. The value obtained for the volume is 774.4 Å³ per cell.

---

# 10
Here is a relaxed structure of TbNd4In from Alexandria. Energies are from GGA-PBE.

a = 3.6549 Å, b = 3.6549 Å, c = 14.7451 Å
α = 90.00°, β = 90.00°, γ = 90.00°
Closest atoms and distances in Å follow each position.
Space group P4/mmm (No. 123)
Inequivalent atoms, fractional coordinates:
Tb: 0.0000 0.0000 0.0000 x1  8 Nd 3.64, 4 Tb 3.65
Nd: 0.0000 0.0000 0.3536 x2  4 In 3.37, 8 Nd 3.65-3.71
Nd: 0.5000 0.5000 0.1735 x2  4 Tb 3.64, 8 Nd 3.65-3.71
In: 0.5000 0.5000 0.5000 x1  8 Nd 3.37, 4 In 3.65

Calculated values
The formation energy is -0.1400 eV per atom. The total magnetization comes out at 0.00 μB/f.u. The value obtained for the volume is 197.0 Å³ per cell.

---

# 11
Here is a relaxed structure of Tb2NdIn9 from Alexandria. Energies are from GGA-PBE.

a = 4.6696 Å, b = 4.6696 Å, c = 14.0070 Å
α = 90.00°, β = 90.00°, γ = 90.00°
Closest atoms and distances in Å follow each position.
Space group P4/mmm (No. 123)
Inequivalent atoms, fractional coordinates:
Tb: 0.0000 0.0000 0.1652 x2  12 In 3.29-3.30
Nd: 0.0000 0.0000 0.5000 x1  12 In 3.30-3.33
In: 0.0000 0.5000 0.0000 x2  4 Tb 3.29, 8 In 3.30
In: 0.0000 0.5000 0.3303 x4  8 In 3.28-3.33, 2 Tb 3.29, 2 Nd 3.33
In: 0.5000 0.5000 0.1661 x2  8 In 3.28-3.30, 4 Tb 3.30
In: 0.5000 0.5000 0.5000 x1  4 Nd 3.30, 8 In 3.33

Calculated values
The formation energy is -0.4425 eV per atom. The total magnetization comes out at 0.00 μB/f.u. The value obtained for the volume is 305.4 Å³ per cell.

---

# 12
Here is a relaxed structure of Tb2NdIn3 from Alexandria. Energies are from GGA-PBE.

a = 5.3816 Å, b = 5.3816 Å, c = 6.6079 Å
α = 90.00°, β = 90.00°, γ = 120.00°
Closest atoms and distances in Å follow each position.
Space group P-3m1 (No. 164)
Inequivalent atoms, fractional coordinates:
Tb: 0.3333 0.6667 0.1619 x2  8 In 3.26-3.34
Nd: 0.0000 0.0000 0.5000 x1  8 In 3.30
In: 0.0000 0.0000 0.0000 x1  6 Tb 3.29, 2 Nd 3.30
In: 0.3333 0.6667 0.6680 x2  5 Tb 3.26-3.34, 3 Nd 3.30

Calculated values
The formation energy is -0.4778 eV per atom. The total magnetization comes out at 0.00 μB/f.u. The value obtained for the volume is 165.7 Å³ per cell.

---

Q: Which formula does entry 4 have?
A: Tb5NdIn6

---

Q: Which of these has the highest volume?
A: Tb8NdIn6